Entry 1:
A plane-wave DFT calculation with PBE-GGA was carried out for crystalline Sr4Ac2Pt at its relaxed geometry.

```
Sr4Ac2Pt
1.0
-3.6364 3.8736 -2.1544
2.0210 -1.0311 -5.2652
-6.6532 -9.1736 2.3643
Sr Ac Pt
4 2 1
direct
0.8639 0.8639 0.7278 Sr
0.1361 0.1361 0.2722 Sr
0.0000 0.5000 0.0000 Sr
0.5000 0.0000 0.0000 Sr
0.6859 0.6859 0.3717 Ac
0.3141 0.3141 0.6283 Ac
0.0000 0.0000 0.0000 Pt
```

## Properties
E_form (meV/atom): 18



Entry 2:
A plane-wave DFT calculation with PBE-GGA was carried out for crystalline RbPdRuBr6 at its relaxed geometry.

```
RbPdRuBr6
1.0
6.7600 0.0000 -0.0001
3.3800 5.8543 0.0001
0.0001 -0.0002 7.7739
Rb Pd Ru Br
1 1 1 6
direct
0.0000 0.0000 0.0000 Rb
0.3333 0.3333 0.5000 Pd
0.6667 0.6667 0.5000 Ru
0.9850 0.3693 0.3175 Br
0.3693 0.9850 0.6824 Br
0.6456 0.3693 0.6824 Br
0.9850 0.6456 0.6824 Br
0.3693 0.6456 0.3176 Br
0.6456 0.9851 0.3175 Br
```



Entry 3:
A plane-wave DFT calculation with PBE-GGA was carried out for crystalline Ba2SbIr at its relaxed geometry.

```
Ba2SbIr
1.0
-1.9692 -3.0443 2.6308
3.3188 -1.4630 0.7912
3.9977 3.2368 6.7377
Ba Ir Sb
2 1 1
direct
0.0000 0.9777 0.0205 Ba
0.0000 0.5223 0.4795 Ba
0.5000 0.2500 0.2500 Ir
0.5000 0.7500 0.7500 Sb
```



| no. | spin magnetization (μB per formula unit) | Fermi-level density of states (states/eV per atom) | E (eV per cell) |
| --- | --- | --- | --- |
| 1 | 0.00 | 1.218 | -20.86 |
| 2 | 1.05 | 0.746 | -30.39 |
| 3 | 0.00 | 0.527 | -17.54 |